Entry 1:
A relaxed Pr2SiGeOs2 crystal, computed with PBE.

```
Pr2SiGeOs2
1.0
4.243 0.000 0.000
0.000 4.243 0.000
0.000 0.000 7.128
Ge Os Pr Si
1 2 2 1
Direct
0.500 0.500 0.191
0.000 0.500 0.995
0.500 0.000 0.995
0.000 0.000 0.319
0.500 0.500 0.677
0.000 0.000 0.824
```

Properties
Its final energy is -7.543 eV/atom. The size of the total moment comes out at 0.000 μB per atom. Its volume is 21.4 A^3/atom.

=====

Entry 2:
A relaxed Y2ErAlC crystal, computed with PBE.

```
Y2ErAlC
1.0
4.881 0.000 0.000
0.000 4.881 0.000
0.000 0.000 4.835
Y Al Er C
2 1 1 1
Direct
0.500 0.000 0.500
0.000 0.500 0.500
0.000 0.000 0.000
0.500 0.500 0.000
0.500 0.500 0.500
```

Properties
Its final energy is -6.517 eV/atom. The size of the total moment comes out at 0.000 μB per atom. Its volume is 23.0 A^3/atom.

=====

Entry 3:
A relaxed LuHg crystal, computed with PBE.

```
LuHg
1.0
3.571 0.000 0.000
-1.785 3.092 0.000
0.000 0.000 4.629
Lu Hg
1 1
Direct
0.333 0.667 0.250
0.667 0.333 0.750
```

Properties
Its final energy is -2.685 eV/atom. The size of the total moment comes out at 0.002 μB per atom. Its volume is 25.6 A^3/atom.

=====

Entry 4:
A relaxed PaNbO6 crystal, computed with PBE.

```
PaNbO6
1.0
2.931 1.692 4.795
-2.931 1.692 4.795
0.000 -3.384 4.795
O Pa Nb
6 1 1
Direct
0.763 0.239 0.759
0.237 0.761 0.241
0.759 0.763 0.239
0.239 0.759 0.763
0.761 0.241 0.237
0.241 0.237 0.761
0.500 0.500 0.500
0.000 0.000 0.000
```

Properties
Its final energy is -8.253 eV/atom. The size of the total moment comes out at 0.250 μB per atom. Its volume is 17.8 A^3/atom.

=====

Entry 5:
A relaxed MgCdSeO crystal, computed with PBE.

```
MgCdSeO
1.0
-0.167 3.105 2.570
-2.233 -2.213 2.529
7.917 -3.109 4.270
Se O Mg Cd
2 2 2 2
Direct
0.250 0.750 0.500
0.750 0.250 0.500
0.250 0.250 0.114
0.750 0.750 0.886
0.750 0.750 0.691
0.250 0.250 0.309
0.750 0.750 0.115
0.250 0.250 0.885
```

Properties
Its final energy is -3.384 eV/atom. Its volume is 19.4 A^3/atom.

=====

Entry 6:
A relaxed ZrGeNO crystal, computed with PBE.

```
ZrGeNO
1.0
-1.634 -0.613 -2.907
-0.517 -3.209 0.967
-7.505 2.332 3.727
Zr N O Ge
2 2 2 2
Direct
0.750 0.750 0.847
0.250 0.250 0.153
0.750 0.750 0.254
0.250 0.250 0.746
0.750 0.250 0.000
0.250 0.750 0.000
0.250 0.750 0.500
0.750 0.250 0.500
```

Properties
Its final energy is -7.536 eV/atom. The size of the total moment comes out at 0.000 μB per atom. Its volume is 12.5 A^3/atom.

=====

Entry 7:
A relaxed CsK4ReO6 crystal, computed with PBE.

```
CsK4ReO6
1.0
-1.520 4.947 3.607
1.276 -5.492 2.828
5.897 1.685 -1.406
O Cs K Re
6 1 4 1
Direct
0.048 0.300 0.181
0.700 0.952 0.819
0.813 0.813 0.190
0.952 0.700 0.819
0.187 0.187 0.810
0.300 0.048 0.181
0.500 0.500 0.500
0.840 0.160 0.500
0.160 0.840 0.500
0.334 0.666 0.000
0.666 0.334 0.000
0.000 0.000 0.000
```

Properties
Its final energy is -5.563 eV/atom. The size of the total moment comes out at 0.000 μB per atom. Its volume is 17.6 A^3/atom.

=====

Entry 8:
A relaxed TmHfPO crystal, computed with PBE.

```
TmHfPO
1.0
4.050 0.000 0.000
0.000 7.128 0.000
0.000 0.000 5.008
Hf Tm P O
2 2 2 2
Direct
0.000 0.251 0.939
0.000 0.749 0.439
0.500 0.853 0.938
0.500 0.147 0.438
0.000 0.385 0.439
0.000 0.615 0.939
0.500 0.171 0.939
0.500 0.829 0.439
```

Properties
Its final energy is -8.030 eV/atom. The size of the total moment comes out at 0.001 μB per atom. Its volume is 18.1 A^3/atom.